Record 1
Crystalline DyGe3Ir3 at its relaxed geometry. Source: the Alexandria database, functional PBE.

Lattice parameters (Å, degrees): 6.743 6.743 6.743 90.00 90.00 90.00
Space group Pm-3n (No. 223)
One atom of each set of equivalent atoms:
Dy  0.000  0.000  0.000 x2
Ge  0.000  0.250  0.500 x6
Ir  0.000  0.500  0.250 x6

Calculated values
**Energy above the lowest structure with this stoichiometry**: 405 meV/atom
**Crystal system**: cubic
**E_form**: -0.047 eV/atom

=====

Record 2
Crystalline ErZn2Hg at its relaxed geometry. Source: the Alexandria database, functional PBE.

Lattice parameters (Å, degrees): 4.284 4.284 4.498 90.00 90.00 90.00
Space group P4/mmm (No. 123)
One atom of each set of equivalent atoms:
Er  0.000  0.000  0.000 x1
Zn  0.000  0.500  0.500 x2
Hg  0.500  0.500  0.000 x1

Calculated values
**Energy above the lowest structure with this stoichiometry**: 47 meV/atom
**Crystal system**: tetragonal
**E_form**: -0.236 eV/atom

=====

Record 3
Crystalline Pr2EuHo at its relaxed geometry. Source: the Alexandria database, functional PBE.

Lattice parameters (Å, degrees): 3.703 3.703 10.465 90.00 90.00 90.00
Space group P4/mmm (No. 123)
One atom of each set of equivalent atoms:
Pr  0.000  0.000  0.235 x2
Eu  0.500  0.500  0.500 x1
Ho  0.500  0.500  0.000 x1

Calculated values
**Energy above the lowest structure with this stoichiometry**: 0 meV/atom
**Crystal system**: tetragonal
**E_form**: 0.032 eV/atom

=====

Record 4
Crystalline Ce2Bi3H4 at its relaxed geometry. Source: the Alexandria database, functional PBE.

Lattice parameters (Å, degrees): 3.873 6.039 8.263 69.59 76.79 71.59
Space group P-1 (No. 2)
One atom of each set of equivalent atoms:
Ce  0.164  0.462  0.214 x2
Bi  0.159  0.044  0.643 x2
Bi  0.500  0.000  0.000 x1
H  0.253  0.566  0.927 x2
H  0.418  0.477  0.679 x2

Calculated values
**Crystal system**: triclinic

=====

Record 5
Crystalline Dy6PdRh2 at its relaxed geometry. Source: the Alexandria database, functional PBE.

Lattice parameters (Å, degrees): 9.334 9.482 10.069 90.00 90.00 90.00
Space group Immm (No. 71)
One atom of each set of equivalent atoms:
Dy  0.000  0.192  0.172 x8
Dy  0.178  0.227  0.500 x8
Dy  0.189  0.500  0.253 x8
Pd  0.000  0.500  0.000 x2
Pd  0.000  0.500  0.500 x2
Rh  0.000  0.000  0.370 x4
Rh  0.170  0.000  0.000 x4

Calculated values
**Crystal system**: orthorhombic
**E_form**: -0.622 eV/atom

=====

Record 6
Crystalline ErFeIr at its relaxed geometry. Source: the Alexandria database, functional PBE.

Lattice parameters (Å, degrees): 5.010 5.535 7.322 90.00 90.00 90.00
Space group Imma (No. 74)
One atom of each set of equivalent atoms:
Er  0.000  0.250  0.122 x4
Fe  0.250  0.250  0.750 x4
Ir  0.000  0.000  0.500 x4

Calculated values
**Crystal system**: orthorhombic
**E_form**: -0.586 eV/atom

=====

Number 1: theoretical density 10.4 g/cm³, total DFT energy (no corrections) -6.481 eV/atom. Number 2: theoretical density 10.0 g/cm³, total DFT energy (no corrections) -2.089 eV/atom. Number 3: theoretical density 6.9 g/cm³, total DFT energy (no corrections) -6.071 eV/atom. Number 4: theoretical density 8.9 g/cm³, total DFT energy (no corrections) -4.451 eV/atom. Number 5: theoretical density 9.6 g/cm³, total DFT energy (no corrections) -5.901 eV/atom. Number 6: theoretical density 13.6 g/cm³, total DFT energy (no corrections) -7.882 eV/atom.